Computed, not measured: a relaxed TiMoP2O crystal at the PBE with a Hubbard U level of DFT.

CIF file:
```
data_TiMoP2O
_cell_length_a 4.893
_cell_length_b 4.893
_cell_length_c 3.667
_cell_angle_alpha 90.00
_cell_angle_beta 90.00
_cell_angle_gamma 90.00
_symmetry_space_group_name_H-M 'P 4/m m m'
_symmetry_Int_Tables_number 123
_symmetry_space_group_name_Hall '-P 4 2'
loop_
_atom_site_label
_atom_site_type_symbol
_atom_site_fract_x
_atom_site_fract_y
_atom_site_fract_z
Ti1 Ti 0.000 0.000 0.000
Mo1 Mo 0.500 0.500 0.500
P1 P 0.000 0.500 0.000
O1 O 0.000 0.000 0.500
```

Results
Spin magnetization   0.55 μB per atom
Mass density   4.19 Mg/m³
Energy above the most stable polymorph in this dataset   0.000 eV per atom